## Y5Er4Zr (PBE-GGA)

Data for crystalline Y5Er4Zr at its relaxed geometry.

Output
magnetization	0.00	Bohr magnetons per cell
uncorrected energy	-5.798	eV per atom
formation energy	1.14	eV per formula unit

Lattice parameters (Å, degrees): 8.9346 8.9346 10.7157 106.25 106.25 22.18
Sites, in units of the cell vectors:
Y  0.0000  0.0000  0.0000
Y  0.2957  0.2957  0.8997
Y  0.3971  0.3971  0.2216
Y  0.6029  0.6029  0.7784
Y  0.7043  0.7043  0.1003
Er  0.1939  0.1939  0.5794
Er  0.4090  0.4090  0.6854
Er  0.5910  0.5910  0.3146
Er  0.8061  0.8061  0.4206
Zr  0.0000  0.0000  0.5000

## YErZr2 (PBE-GGA)

Data for crystalline YErZr2 at its relaxed geometry.

Output
magnetization	0.00	Bohr magnetons per cell
uncorrected energy	-6.810	eV per atom
energy above the most stable polymorph in this dataset	0.447	eV per formula unit
formation energy	0.88	eV per formula unit

Lattice parameters (Å, degrees): 3.9219 3.9219 6.9032 90.00 90.00 90.00
Sites, in units of the cell vectors:
Y  0.0000  0.0000  0.0000
Er  0.0000  0.0000  0.5000
Zr  0.5000  0.5000  0.2738
Zr  0.5000  0.5000  0.7262

## YErZr2 (PBE-GGA)

Data for crystalline YErZr2 at its relaxed geometry.

Output
magnetization	0.00	Bohr magnetons per cell
uncorrected energy	-6.922	eV per atom
energy above the most stable polymorph in this dataset	0.000	eV per formula unit
formation energy	0.44	eV per formula unit

Lattice parameters (Å, degrees): 3.3656 3.3656 32.5388 90.00 90.00 120.00
Sites, in units of the cell vectors:
Y  0.0000  0.0000  0.0000
Y  0.3333  0.6667  0.6667
Y  0.6667  0.3333  0.3333
Er  0.0000  0.0000  0.1668
Er  0.3333  0.6667  0.8335
Er  0.6667  0.3333  0.5002
Zr  0.0000  0.0000  0.5827
Zr  0.0000  0.0000  0.7504
Zr  0.3333  0.6667  0.2494
Zr  0.3333  0.6667  0.4171
Zr  0.6667  0.3333  0.0837
Zr  0.6667  0.3333  0.9161

## Y4Er5Zr (PBE-GGA)

Data for crystalline Y4Er5Zr at its relaxed geometry.

Output
magnetization	0.00	Bohr magnetons per cell
uncorrected energy	-5.669	eV per atom
energy above the most stable polymorph in this dataset	0.000	eV per formula unit
formation energy	0.53	eV per formula unit

Lattice parameters (Å, degrees): 3.4964 9.2601 9.8791 74.48 89.90 79.18
Sites, in units of the cell vectors:
Y  0.0971  0.3054  0.2893
Y  0.0968  0.3071  0.8072
Y  0.9032  0.6929  0.1928
Y  0.9029  0.6946  0.7107
Er  0.3000  0.8999  0.4001
Er  0.3016  0.8968  0.9007
Er  0.5000  0.5000  0.5000
Er  0.6984  0.1032  0.0993
Er  0.7000  0.1001  0.5999
Zr  0.5000  0.5000  0.0000

## Y12Er7Zr (PBE-GGA)

Data for crystalline Y12Er7Zr at its relaxed geometry.

Output
magnetization	0.00	Bohr magnetons per cell
uncorrected energy	-5.658	eV per atom
formation energy	4.90	eV per formula unit

Lattice parameters (Å, degrees): 11.3091 11.3091 11.3091 116.85 116.85 116.85
Sites, in units of the cell vectors:
Y  0.0008  0.5857  0.4137
Y  0.0714  0.4242  0.0734
Y  0.0734  0.0714  0.4242
Y  0.4137  0.0008  0.5857
Y  0.4143  0.5863  0.9992
Y  0.4242  0.0734  0.0714
Y  0.5758  0.9266  0.9286
Y  0.5857  0.4137  0.0008
Y  0.5863  0.9992  0.4143
Y  0.9266  0.9286  0.5758
Y  0.9286  0.5758  0.9266
Y  0.9992  0.4143  0.5863
Er  0.0000  0.0000  0.0000
Er  0.1460  0.3871  0.3889
Er  0.3871  0.3889  0.1460
Er  0.3889  0.1460  0.3871
Er  0.6111  0.8540  0.6129
Er  0.6129  0.6111  0.8540
Er  0.8540  0.6129  0.6111
Zr  0.5000  0.5000  0.5000

## YEr6Zr (PBE-GGA)

Data for crystalline YEr6Zr at its relaxed geometry.

Output
magnetization	0.00	Bohr magnetons per cell
uncorrected energy	-5.068	eV per atom
formation energy	1.85	eV per formula unit

Lattice parameters (Å, degrees): 6.3065 6.4870 6.4905 111.44 94.84 94.56
Sites, in units of the cell vectors:
Y  0.0000  0.0000  0.0000
Er  0.2591  0.6069  0.6062
Er  0.2732  0.0908  0.5388
Er  0.2735  0.5385  0.0900
Er  0.7265  0.4615  0.9100
Er  0.7268  0.9092  0.4612
Er  0.7409  0.3931  0.3938
Zr  0.5000  0.0000  0.0000

## YEr14Zr (PBE-GGA)

Data for crystalline YEr14Zr at its relaxed geometry.

Output
magnetization	0.00	Bohr magnetons per cell
uncorrected energy	-4.916	eV per atom
formation energy	0.23	eV per formula unit

Lattice parameters (Å, degrees): 11.0363 7.1371 7.1371 60.01 90.00 90.00
Sites, in units of the cell vectors:
Y  0.0000  0.0000  0.0000
Er  0.0000  0.5017  0.9989
Er  0.0000  0.9989  0.5017
Er  0.2441  0.3361  0.3361
Er  0.2454  0.3369  0.8277
Er  0.2454  0.8277  0.3369
Er  0.2529  0.8333  0.8333
Er  0.5000  0.0007  0.0007
Er  0.5000  0.0007  0.4997
Er  0.5000  0.4997  0.0007
Er  0.5000  0.5002  0.5002
Er  0.7471  0.8333  0.8333
Er  0.7546  0.3369  0.8277
Er  0.7546  0.8277  0.3369
Er  0.7559  0.3361  0.3361
Zr  0.0000  0.5007  0.5007

## Y2Er12Zr (PBE-GGA)

Data for crystalline Y2Er12Zr at its relaxed geometry.

Output
magnetization	0.00	Bohr magnetons per cell
uncorrected energy	-4.949	eV per atom
formation energy	2.00	eV per formula unit

Lattice parameters (Å, degrees): 6.5440 6.5440 23.7045 92.30 92.30 114.99
Sites, in units of the cell vectors:
Y  0.0675  0.0675  0.2749
Y  0.4304  0.4304  0.7226
Y  0.5696  0.5696  0.2774
Y  0.9325  0.9325  0.7251
Er  0.0315  0.0315  0.1259
Er  0.0482  0.5476  0.1899
Er  0.0825  0.5812  0.3279
Er  0.1412  0.6361  0.5560
Er  0.1422  0.1422  0.5794
Er  0.2373  0.7304  0.9370
Er  0.2696  0.7627  0.0630
Er  0.3535  0.3535  0.4230
Er  0.3639  0.8588  0.4440
Er  0.4188  0.9175  0.6721
Er  0.4524  0.9518  0.8101
Er  0.4667  0.4667  0.8703
Er  0.5333  0.5333  0.1297
Er  0.5476  0.0482  0.1899
Er  0.5812  0.0825  0.3279
Er  0.6361  0.1412  0.5560
Er  0.6465  0.6465  0.5770
Er  0.7304  0.2373  0.9370
Er  0.7627  0.2696  0.0630
Er  0.8578  0.8578  0.4206
Er  0.8588  0.3639  0.4440
Er  0.9175  0.4188  0.6721
Er  0.9518  0.4524  0.8101
Er  0.9685  0.9685  0.8741
Zr  0.2752  0.2752  0.0001
Zr  0.7248  0.7248  0.9999

## YEr4Zr (PBE-GGA)

Data for crystalline YEr4Zr at its relaxed geometry.

Output
magnetization	0.00	Bohr magnetons per cell
uncorrected energy	-5.486	eV per atom
energy above the most stable polymorph in this dataset	0.000	eV per formula unit
formation energy	0.35	eV per formula unit

Lattice parameters (Å, degrees): 3.4518 6.9856 7.6830 103.11 102.95 90.15
Sites, in units of the cell vectors:
Y  0.0000  0.0000  0.0000
Er  0.3374  0.1803  0.6752
Er  0.3396  0.6587  0.6789
Er  0.6604  0.3413  0.3211
Er  0.6626  0.8197  0.3248
Zr  0.0000  0.5000  0.0000

## Y2Er4Zr (PBE-GGA)

Data for crystalline Y2Er4Zr at its relaxed geometry.

Output
magnetization	0.92	Bohr magnetons per cell
uncorrected energy	-5.643	eV per atom
formation energy	0.23	eV per formula unit

Lattice parameters (Å, degrees): 6.1084 3.5267 19.5707 90.00 95.96 90.00
Sites, in units of the cell vectors:
Y  0.0000  0.0000  0.0000
Y  0.0964  0.0000  0.2931
Y  0.5000  0.5000  0.0000
Y  0.5964  0.5000  0.2931
Er  0.2843  0.0000  0.8542
Er  0.3132  0.5000  0.4433
Er  0.3817  0.0000  0.1470
Er  0.4011  0.5000  0.7071
Er  0.7843  0.5000  0.8542
Er  0.8132  0.0000  0.4433
Er  0.8817  0.5000  0.1470
Er  0.9011  0.0000  0.7071
Zr  0.1905  0.0000  0.5750
Zr  0.6905  0.5000  0.5750

## YEr4Zr (PBE-GGA)

Data for crystalline YEr4Zr at its relaxed geometry.

Output
magnetization	0.00	Bohr magnetons per cell
uncorrected energy	-5.416	eV per atom
energy above the most stable polymorph in this dataset	0.422	eV per formula unit
formation energy	0.77	eV per formula unit

Lattice parameters (Å, degrees): 8.3000 8.3000 6.2230 100.08 100.08 116.19
Sites, in units of the cell vectors:
Y  0.0915  0.9085  0.7500
Y  0.9085  0.0915  0.2500
Er  0.0926  0.3287  0.8674
Er  0.2180  0.5923  0.4619
Er  0.3287  0.0926  0.3674
Er  0.4077  0.7820  0.0381
Er  0.5923  0.2180  0.9619
Er  0.6713  0.9074  0.6326
Er  0.7820  0.4077  0.5381
Er  0.9074  0.6713  0.1326
Zr  0.4972  0.5028  0.2500
Zr  0.5028  0.4972  0.7500

## YErZr (PBE-GGA)

Data for crystalline YErZr at its relaxed geometry.

Output
magnetization	0.00	Bohr magnetons per cell
uncorrected energy	-6.392	eV per atom
energy above the most stable polymorph in this dataset	0.169	eV per formula unit
formation energy	0.40	eV per formula unit

Lattice parameters (Å, degrees): 3.3437 4.9699 10.2480 90.00 99.31 90.00
Sites, in units of the cell vectors:
Y  0.0494  0.2500  0.0980
Y  0.9506  0.7500  0.9020
Er  0.3685  0.2500  0.7365
Er  0.6315  0.7500  0.2635
Zr  0.2124  0.2500  0.4256
Zr  0.7876  0.7500  0.5744

## Y2Er8Zr (PBE-GGA)

Data for crystalline Y2Er8Zr at its relaxed geometry.

Output
magnetization	0.00	Bohr magnetons per cell
uncorrected energy	-5.228	eV per atom
formation energy	0.47	eV per formula unit

Lattice parameters (Å, degrees): 9.2254 9.2254 7.8129 104.72 104.72 30.91
Sites, in units of the cell vectors:
Y  0.2261  0.2261  0.1353
Y  0.7739  0.7739  0.8647
Er  0.0437  0.0437  0.2363
Er  0.1312  0.1312  0.6733
Er  0.3218  0.3218  0.5905
Er  0.4116  0.4116  0.0567
Er  0.5884  0.5884  0.9433
Er  0.6782  0.6782  0.4095
Er  0.8688  0.8688  0.3267
Er  0.9563  0.9563  0.7637
Zr  0.5000  0.5000  0.5000

## YErZr (PBE-GGA)

Data for crystalline YErZr at its relaxed geometry.

Output
magnetization	0.00	Bohr magnetons per cell
uncorrected energy	-6.291	eV per atom
energy above the most stable polymorph in this dataset	0.473	eV per formula unit
formation energy	0.70	eV per formula unit

Lattice parameters (Å, degrees): 6.1884 3.2536 8.4624 90.00 90.00 90.00
Sites, in units of the cell vectors:
Y  0.2500  0.0000  0.1298
Y  0.7500  0.0000  0.8702
Er  0.0000  0.0000  0.5000
Er  0.5000  0.0000  0.5000
Zr  0.2500  0.5000  0.7904
Zr  0.7500  0.5000  0.2096

## Y6Er8Zr (PBE-GGA)

Data for crystalline Y6Er8Zr at its relaxed geometry.

Output
magnetization	0.00	Bohr magnetons per cell
uncorrected energy	-5.468	eV per atom
formation energy	1.81	eV per formula unit

Lattice parameters (Å, degrees): 8.4998 8.4998 8.4998 63.70 63.70 63.70
Sites, in units of the cell vectors:
Y  0.0454  0.6159  0.7162
Y  0.2838  0.9546  0.3841
Y  0.3841  0.2838  0.9546
Y  0.6159  0.7162  0.0454
Y  0.7162  0.0454  0.6159
Y  0.9546  0.3841  0.2838
Er  0.0758  0.0758  0.0758
Er  0.2235  0.6094  0.2489
Er  0.2489  0.2235  0.6094
Er  0.3906  0.7511  0.7765
Er  0.6094  0.2489  0.2235
Er  0.7511  0.7765  0.3906
Er  0.7765  0.3906  0.7511
Er  0.9242  0.9242  0.9242
Zr  0.5000  0.5000  0.5000

## YErZr2 (PBE-GGA)

Data for crystalline YErZr2 at its relaxed geometry.

Output
magnetization	0.00	Bohr magnetons per cell
uncorrected energy	-6.909	eV per atom
energy above the most stable polymorph in this dataset	0.051	eV per formula unit
formation energy	0.49	eV per formula unit

Lattice parameters (Å, degrees): 4.7016 4.7016 4.8026 90.00 90.00 90.00
Sites, in units of the cell vectors:
Y  0.0000  0.0000  0.0000
Er  0.5000  0.5000  0.0000
Zr  0.0000  0.5000  0.5000
Zr  0.5000  0.0000  0.5000

## Y6Er2Zr (PBE-GGA)

Data for crystalline Y6Er2Zr at its relaxed geometry.

Output
magnetization	0.00	Bohr magnetons per cell
uncorrected energy	-6.117	eV per atom
formation energy	1.41	eV per formula unit

Lattice parameters (Å, degrees): 9.7025 9.7025 6.3801 98.07 98.07 72.95
Sites, in units of the cell vectors:
Y  0.0761  0.5589  0.2425
Y  0.1159  0.8333  0.9887
Y  0.1667  0.8841  0.5113
Y  0.2819  0.4933  0.7457
Y  0.4411  0.9239  0.2575
Y  0.4933  0.2819  0.2457
Y  0.5067  0.7181  0.7543
Y  0.5589  0.0761  0.7425
Y  0.7181  0.5067  0.2543
Y  0.8333  0.1159  0.4887
Y  0.8841  0.1667  0.0113
Y  0.9239  0.4411  0.7575
Er  0.1672  0.2266  0.4086
Er  0.2266  0.1672  0.9086
Er  0.7734  0.8328  0.0914
Er  0.8328  0.7734  0.5914
Zr  0.3737  0.6263  0.2500
Zr  0.6263  0.3737  0.7500

## Y4Er6Zr (PBE-GGA)

Data for crystalline Y4Er6Zr at its relaxed geometry.

Output
magnetization	2.51	Bohr magnetons per cell
uncorrected energy	-5.471	eV per atom
formation energy	1.60	eV per formula unit

Lattice parameters (Å, degrees): 8.7234 8.7234 8.8126 90.00 90.00 90.00
Sites, in units of the cell vectors:
Y  0.1475  0.3525  0.2500
Y  0.1475  0.3525  0.7500
Y  0.3525  0.8525  0.2500
Y  0.3525  0.8525  0.7500
Y  0.6475  0.1475  0.2500
Y  0.6475  0.1475  0.7500
Y  0.8525  0.6475  0.2500
Y  0.8525  0.6475  0.7500
Er  0.0000  0.0000  0.1734
Er  0.0000  0.0000  0.8266
Er  0.1501  0.6531  0.5000
Er  0.1531  0.6501  0.0000
Er  0.3469  0.1501  0.5000
Er  0.3499  0.1531  0.0000
Er  0.5000  0.5000  0.3266
Er  0.5000  0.5000  0.6734
Er  0.6501  0.8469  0.0000
Er  0.6531  0.8499  0.5000
Er  0.8469  0.3499  0.0000
Er  0.8499  0.3469  0.5000
Zr  0.0000  0.0000  0.5000
Zr  0.5000  0.5000  0.0000

## Y4Er5Zr (PBE-GGA)

Data for crystalline Y4Er5Zr at its relaxed geometry.

Output
magnetization	0.00	Bohr magnetons per cell
uncorrected energy	-5.486	eV per atom
energy above the most stable polymorph in this dataset	1.822	eV per formula unit
formation energy	2.35	eV per formula unit

Lattice parameters (Å, degrees): 7.9084 7.9084 7.9084 97.88 97.88 136.54
Sites, in units of the cell vectors:
Y  0.0000  0.3193  0.3193
Y  0.0000  0.6807  0.6807
Y  0.3193  0.0000  0.3193
Y  0.6807  0.0000  0.6807
Er  0.2892  0.2892  0.6323
Er  0.2892  0.6569  0.0000
Er  0.6569  0.2892  0.0000
Er  0.6569  0.6569  0.3677
Er  0.7653  0.7653  0.0000
Zr  0.2285  0.2285  0.0000

## Y3Er8Zr (PBE-GGA)

Data for crystalline Y3Er8Zr at its relaxed geometry.

Output
magnetization	0.08	Bohr magnetons per cell
uncorrected energy	-4.744	eV per atom
formation energy	7.51	eV per formula unit

Lattice parameters (Å, degrees): 8.3177 8.3177 8.3177 117.61 117.61 94.19
Sites, in units of the cell vectors:
Y  0.0000  0.0000  0.0000
Y  0.2500  0.7500  0.5000
Y  0.7500  0.2500  0.5000
Er  0.1402  0.3952  0.0000
Er  0.2346  0.2346  0.5373
Er  0.3027  0.7654  0.0000
Er  0.3952  0.1402  0.0000
Er  0.6048  0.6048  0.7450
Er  0.6973  0.6973  0.4627
Er  0.7654  0.3027  0.0000
Er  0.8598  0.8598  0.2550
Zr  0.5000  0.5000  0.0000